[1]
Material: PmBeNi3
Method: DFT, GGA-PBE
State: relaxed

Summary:
Mass density = 7.67 g/cm3
Formation enthalpy at 0 K = -0.19 eV per atom
E_tot = -5.353 eV/atom

```
PmBeNi3
1.0
-0.3765 3.9466 -1.2268
-3.6479 -0.8964 -1.7640
-1.9425 0.9184 3.5505
Be Ni Pm
1 3 1
direct
0.0000 0.0000 0.0000 Be
0.0000 0.0000 0.5000 Ni
0.0000 0.5000 0.0000 Ni
0.5000 0.0000 0.0000 Ni
0.5000 0.5000 0.5000 Pm
```

=====

[2]
Material: Tb4GaSb2
Method: DFT, GGA-PBE
State: relaxed

Summary:
Mass density = 7.31 g/cm3
E_tot = -4.925 eV/atom
Formation energy from raw total energies = -668 meV per atom

```
Tb4GaSb2
1.0
-0.8047 -8.1605 -0.8561
4.1294 1.6509 6.9424
-7.4710 3.4665 0.3563
Tb Sb Ga
8 4 2
direct
0.9382 0.6342 0.6961 Tb
0.3119 0.5079 0.1961 Tb
0.3659 0.0619 0.3040 Tb
0.3118 0.1158 0.8039 Tb
0.4920 0.6880 0.8039 Tb
0.7580 0.0620 0.6960 Tb
0.8841 0.6881 0.1961 Tb
0.9381 0.2421 0.3039 Tb
0.6250 0.3750 0.7500 Sb
0.6250 0.8750 0.2500 Sb
0.1250 0.3750 0.7500 Sb
0.6250 0.3750 0.2500 Sb
0.0004 0.0004 0.0000 Ga
0.2497 0.7497 0.5000 Ga
```

=====

[3]
Material: Al2In2Bi
Method: DFT, GGA-PBE
State: relaxed

Summary:
Mass density = 6.36 g/cm3
Formation enthalpy at 0 K = 0.20 eV per atom
E_tot = -3.171 eV/atom

```
Al2In2Bi
1.0
3.8663 0.0000 0.0000
0.0000 3.8663 0.0000
1.9331 1.9331 8.6105
Bi Al In
1 2 2
direct
0.0000 0.0000 0.0000 Bi
0.2500 0.7500 0.5000 Al
0.7500 0.2500 0.5000 Al
0.3881 0.3881 0.2239 In
0.6119 0.6119 0.7761 In
```

=====

[4]
Material: MgZrNb2N
Method: DFT, GGA-PBE
State: relaxed

Summary:
Mass density = 5.57 g/cm3
E_tot = -6.336 eV/atom
Formation energy from raw total energies = 1386 meV per atom

```
MgZrNb2N
1.0
-3.4529 2.0836 3.0416
-1.6108 -3.2852 0.4218
2.9516 -0.9347 3.9912
N Mg Nb Zr
1 1 2 1
direct
0.0000 0.5000 0.0000 N
0.0000 0.0000 0.0000 Mg
0.5000 0.0000 0.0000 Nb
0.0000 0.0000 0.5000 Nb
0.5000 0.5000 0.5000 Zr
```